w.
Density functional theory data (PBE-GGA) for a relaxed La4PmCd crystal.

The structure in CIF format:
```
data_La4PmCd
_chemical_formula_sum 'La4 Pm1 Cd1'
_space_group_name_H-M_alt 'P 1'
_space_group_IT_number 1
_cell_length_a 3.776
_cell_length_b 3.776
_cell_length_c 14.380
_cell_angle_alpha 90.00
_cell_angle_beta 90.00
_cell_angle_gamma 90.00
loop_
_space_group_symop_operation_xyz
'x,y,z'
loop_
_atom_site_label
_atom_site_fract_x
_atom_site_fract_y
_atom_site_fract_z
La1 0.500 0.500 0.823
La2 0.000 0.000 0.353
La3 0.000 0.000 0.647
La4 0.500 0.500 0.177
Cd1 0.500 0.500 0.500
Pm1 0.000 0.000 0.000
```

Output
SG: No. 123



x.
Density functional theory data (PBE-GGA) for a relaxed La4PmCd crystal.

The structure in CIF format:
```
data_La4PmCd
_chemical_formula_sum 'La8 Pm2 Cd2'
_space_group_name_H-M_alt 'P 1'
_space_group_IT_number 1
_cell_length_a 5.826
_cell_length_b 6.642
_cell_length_c 10.972
_cell_angle_alpha 90.00
_cell_angle_beta 105.40
_cell_angle_gamma 90.00
loop_
_space_group_symop_operation_xyz
'x,y,z'
loop_
_atom_site_label
_atom_site_fract_x
_atom_site_fract_y
_atom_site_fract_z
Pm1 0.867 0.696 0.734
Pm2 0.133 0.196 0.266
La1 0.543 0.393 0.086
La2 0.690 0.544 0.380
La3 0.457 0.893 0.914
La4 0.310 0.044 0.620
La5 0.757 0.140 0.515
La6 0.243 0.640 0.485
La7 0.941 0.208 0.883
La8 0.059 0.708 0.117
Cd1 0.390 0.451 0.779
Cd2 0.610 0.951 0.221
```

Output
SG: No. 36



We find w to be the most stable, with the next structure 94 meV per atom higher.